No. 1
# ScAsP2

A relaxed ScAsP2 crystal (PBE, Alexandria). Values from VASP.

```
&SYSTEM
  ibrav = 0, nat = 4, ntyp = 3
/
ATOMIC_SPECIES
As 74.92 As.upf
P 30.97 P.upf
Sc 44.96 Sc.upf
CELL_PARAMETERS angstrom
-3.193 4.304 0.649
-3.307 1.541 -3.978
1.312 -4.510 2.660
ATOMIC_POSITIONS angstrom
As -2.565 1.358 0.822
P 0.000 0.000 0.000
P -3.250 2.923 -1.665
Sc -2.622 -0.023 -1.491
```

Values from the calculation:
Space group: I4/mmm
E_form: -1.00 eV/f.u.


No. 2
# CrCoSiRh

A relaxed CrCoSiRh crystal (PBE, Alexandria). Values from VASP.

```
&SYSTEM
  ibrav = 0, nat = 4, ntyp = 4
/
ATOMIC_SPECIES
Co 58.93 Co.upf
Si 28.09 Si.upf
Rh 102.91 Rh.upf
Cr 52.00 Cr.upf
CELL_PARAMETERS angstrom
-4.066 -0.556 0.447
-1.626 -3.771 -0.422
-1.459 -2.000 3.303
ATOMIC_POSITIONS angstrom
Co 0.000 0.000 0.000
Si -1.788 -1.582 0.832
Rh -3.575 -3.164 1.664
Cr -5.363 -4.746 2.497
```

Values from the calculation:
Formation energy (no corrections): -0.33 eV per atom
Space group: F-43m